KSiSe2Cl: optimized geometry, GGA-PBE.

```
5
Lattice="5.2673 0.0000 0.0000 0.0000 5.2879 0.0000 0.0000 0.0000 5.2673" Properties=species:S:1:pos:R:3 pbc="T T T"
K 0.0000 2.6440 0.0000
Si 2.6337 2.6440 2.6337
Se 0.0000 0.0000 2.6337
Se 2.6337 0.0000 0.0000
Cl 0.0000 0.0000 0.0000
```

calculated volume = 146.7 Å³ per cell
total magnetization = 0.10 μB per atom
electronic total energy = -2.5949 eV per atom